This record from the Alexandria database describes a geometry-optimized Cs3Tl2Sb4Pb2 structure. The functional is PBE.

```
Cs3Tl2Sb4Pb2
1.0
5.348 0.000 0.000
-2.674 4.631 0.000
0.000 0.000 20.187
Cs Tl Sb Pb
3 2 4 2
direct
0.000 0.000 0.000 Cs
0.000 0.000 0.283 Cs
0.000 0.000 0.717 Cs
0.333 0.667 0.142 Tl
0.667 0.333 0.858 Tl
0.333 0.667 0.406 Sb
0.333 0.667 0.859 Sb
0.667 0.333 0.141 Sb
0.667 0.333 0.594 Sb
0.333 0.667 0.557 Pb
0.667 0.333 0.443 Pb
```

crystal system: trigonal
formation energy without anion corrections: -0.21 eV per atom

This record from the Alexandria database describes a geometry-optimized In3CuW structure. The functional is PBE.

```
In3CuW
1.0
5.295 0.000 0.000
0.000 5.295 0.000
0.000 0.000 5.295
In Cu W
3 1 1
direct
0.000 0.000 0.500 In
0.000 0.500 0.000 In
0.500 0.000 0.000 In
0.500 0.500 0.500 Cu
0.000 0.000 0.000 W
```

crystal system: cubic
ΔH_f (0 K): 5.4 eV per formula unit
E above lowest polymorph: 0 meV/atom